DFT (PBE-GGA) results for crystalline CsSrGaSe3 at its relaxed geometry.

```
CsSrGaSe3
1.0
5.2898 0.0000 0.0000
-2.6449 8.3774 0.0838
0.0000 -2.3601 9.2066
Cs Se Ga Sr
2 6 2 2
Direct
0.6500 0.2999 0.0613
0.3500 0.7001 0.9387
0.5014 0.0027 0.2797
0.8387 0.6773 0.6483
0.8646 0.7292 0.2422
0.1613 0.3227 0.3517
0.1354 0.2708 0.7578
0.4986 0.9973 0.7203
0.9873 0.9745 0.7134
0.0127 0.0255 0.2866
0.6423 0.2846 0.5596
0.3577 0.7154 0.4404
```

E_tot (eV per cell): -45.0
Crystal system: monoclinic
Total magnetic moment (μB per cell): 0.000
Formation energy from raw total energies (meV/atom): -1082